Arrangement 1

First-principles (PBE) data for a relaxed structure of Cd3Cu4, as listed in Alexandria.

Unit cell a=5.2328 b=5.2328 c=5.2328 alpha=90.00 beta=90.00 gamma=90.00
Atoms (fractional coordinates):
Cd1 0.0000 0.0000 0.5000
Cd2 0.0000 0.5000 0.0000
Cd3 0.5000 0.0000 0.0000
Cu1 0.3361 0.3361 0.3361
Cu2 0.3361 0.6639 0.6639
Cu3 0.6639 0.3361 0.6639
Cu4 0.6639 0.6639 0.3361

Mass density ... 6.854 g/cm³
Symmetry ... P-43m (215)
DOS(E_F) ... 2.518 states/eV/f.u.

Arrangement 2

First-principles (PBE) data for a relaxed structure of Cd3Cu4, as listed in Alexandria.

Unit cell a=5.4605 b=5.4605 c=4.7098 alpha=90.00 beta=90.00 gamma=120.00
Atoms (fractional coordinates):
Cd1 0.0000 0.5000 0.0000
Cd2 0.5000 0.0000 0.0000
Cd3 0.5000 0.5000 0.0000
Cu1 0.0000 0.0000 0.2526
Cu2 0.0000 0.0000 0.7474
Cu3 0.3333 0.6667 0.5000
Cu4 0.6667 0.3333 0.5000

Mass density ... 8.075 g/cm³
Symmetry ... P6/mmm (191)
DOS(E_F) ... 1.654 states/eV/f.u.

Which of them is the most stable, and which is the least stable? arrangement 2 and arrangement 1, in that order.

Arrangement 1

First-principles (PBE) data for a relaxed structure of CdCu5, as listed in Alexandria.

Unit cell a=4.6013 b=4.6013 c=5.4495 alpha=106.37 beta=106.37 gamma=47.15
Atoms (fractional coordinates):
Cd1 0.0000 0.0000 0.0000
Cu1 0.0000 0.0000 0.5000
Cu2 0.3255 0.3255 0.6512
Cu3 0.3343 0.3343 0.1857
Cu4 0.6657 0.6657 0.8143
Cu5 0.6745 0.6745 0.3488

Mass density ... 8.874 g/cm³
Symmetry ... C2/m (12)
DOS(E_F) ... 1.628 states/eV/f.u.

Arrangement 2

First-principles (PBE) data for a relaxed structure of CdCu5, as listed in Alexandria.

Unit cell a=4.6877 b=4.6877 c=4.2489 alpha=90.00 beta=90.00 gamma=120.00
Atoms (fractional coordinates):
Cd1 0.0000 0.0000 0.0000
Cu1 0.0000 0.6269 0.5000
Cu2 0.3333 0.6667 0.0000
Cu3 0.3731 0.3731 0.5000
Cu4 0.6269 0.0000 0.5000
Cu5 0.6667 0.3333 0.0000

Mass density ... 8.834 g/cm³
Symmetry ... P-62m (189)
DOS(E_F) ... 1.539 states/eV/f.u.

Arrangement 3

First-principles (PBE) data for a relaxed structure of CdCu5, as listed in Alexandria.

Unit cell a=5.4583 b=5.4583 c=5.6384 alpha=104.68 beta=104.68 gamma=29.82
Atoms (fractional coordinates):
Cd1 0.0000 0.0000 0.0000
Cu1 0.0000 0.0000 0.5000
Cu2 0.3208 0.3208 0.1800
Cu3 0.3315 0.3315 0.6442
Cu4 0.6685 0.6685 0.3558
Cu5 0.6792 0.6792 0.8200

Mass density ... 8.859 g/cm³
Symmetry ... C2/m (12)
DOS(E_F) ... 1.620 states/eV/f.u.

Which of them is the most stable, and which is the least stable? arrangement 1 and arrangement 3, in that order.

Arrangement 1

First-principles (PBE) data for a relaxed structure of Cd6Cu, as listed in Alexandria.

Unit cell a=6.9687 b=6.9687 c=6.9687 alpha=109.47 beta=109.47 gamma=109.47
Atoms (fractional coordinates):
Cd1 0.2500 0.5000 0.7500
Cd2 0.2500 0.7500 0.5000
Cd3 0.5000 0.2500 0.7500
Cd4 0.5000 0.7500 0.2500
Cd5 0.7500 0.2500 0.5000
Cd6 0.7500 0.5000 0.2500
Cu1 0.0000 0.0000 0.0000

Mass density ... 4.704 g/cm³
Symmetry ... Im-3m (229)
DOS(E_F) ... 3.592 states/eV/f.u.

Arrangement 2

First-principles (PBE) data for a relaxed structure of Cd6Cu, as listed in Alexandria.

Unit cell a=5.4008 b=5.4008 c=10.2192 alpha=90.00 beta=90.00 gamma=81.11
Atoms (fractional coordinates):
Cd1 0.0194 0.6104 0.2500
Cd2 0.1412 0.8588 0.6028
Cd3 0.1412 0.8588 0.8972
Cd4 0.3221 0.3221 0.0000
Cd5 0.3221 0.3221 0.5000
Cd6 0.3896 0.9806 0.2500
Cd7 0.6104 0.0194 0.7500
Cd8 0.6779 0.6779 0.0000
Cd9 0.6779 0.6779 0.5000
Cd10 0.8588 0.1412 0.1028
Cd11 0.8588 0.1412 0.3972
Cd12 0.9806 0.3896 0.7500
Cu1 0.4709 0.5291 0.7500
Cu2 0.5291 0.4709 0.2500

Mass density ... 8.323 g/cm³
Symmetry ... Cmcm (63)
DOS(E_F) ... 2.158 states/eV/f.u.

Which of them is the most stable, and which is the least stable? arrangement 2 and arrangement 1, in that order.

Arrangement 1

First-principles (PBE) data for a relaxed structure of CdCu6, as listed in Alexandria.

Unit cell a=7.9641 b=4.8861 c=9.8629 alpha=90.00 beta=90.00 gamma=90.00
Atoms (fractional coordinates):
Cd1 0.2401 0.2500 0.0644
Cd2 0.2599 0.7500 0.5644
Cd3 0.7401 0.2500 0.4356
Cd4 0.7599 0.7500 0.9356
Cu1 0.0588 0.0069 0.3055
Cu2 0.0588 0.4931 0.3055
Cu3 0.0620 0.7500 0.0824
Cu4 0.1081 0.2500 0.5207
Cu5 0.1545 0.7500 0.8460
Cu6 0.1887 0.2500 0.7665
Cu7 0.3113 0.7500 0.2665
Cu8 0.3455 0.2500 0.3460
Cu9 0.3919 0.7500 0.0207
Cu10 0.4380 0.2500 0.5824
Cu11 0.4412 0.5069 0.8055
Cu12 0.4412 0.9931 0.8055
Cu13 0.5588 0.0069 0.1945
Cu14 0.5588 0.4931 0.1945
Cu15 0.5620 0.7500 0.4176
Cu16 0.6081 0.2500 0.9793
Cu17 0.6545 0.7500 0.6540
Cu18 0.6887 0.2500 0.7335
Cu19 0.8113 0.7500 0.2335
Cu20 0.8455 0.2500 0.1540
Cu21 0.8919 0.7500 0.4793
Cu22 0.9380 0.2500 0.9176
Cu23 0.9412 0.5069 0.6945
Cu24 0.9412 0.9931 0.6945

Mass density ... 8.544 g/cm³
Symmetry ... Pnma (62)
DOS(E_F) ... 3.115 states/eV/f.u.

Arrangement 2

First-principles (PBE) data for a relaxed structure of CdCu6, as listed in Alexandria.

Unit cell a=5.5901 b=5.5901 c=5.5901 alpha=109.47 beta=109.47 gamma=109.47
Atoms (fractional coordinates):
Cd1 0.0000 0.0000 0.0000
Cu1 0.2500 0.5000 0.7500
Cu2 0.2500 0.7500 0.5000
Cu3 0.5000 0.2500 0.7500
Cu4 0.5000 0.7500 0.2500
Cu5 0.7500 0.2500 0.5000
Cu6 0.7500 0.5000 0.2500

Mass density ... 6.096 g/cm³
Symmetry ... Im-3m (229)
DOS(E_F) ... 2.274 states/eV/f.u.

Which of them is the most stable, and which is the least stable? arrangement 1 and arrangement 2, in that order.

Arrangement 1

First-principles (PBE) data for a relaxed structure of Dy4CdCu, as listed in Alexandria.

Unit cell a=6.2866 b=8.9001 c=6.0128 alpha=90.00 beta=106.60 gamma=90.00
Atoms (fractional coordinates):
Dy1 0.1089 0.1680 0.1220
Dy2 0.1089 0.3320 0.6220
Dy3 0.3701 0.6558 0.9219
Dy4 0.3701 0.8442 0.4219
Dy5 0.6299 0.1558 0.5781
Dy6 0.6299 0.3442 0.0781
Dy7 0.8911 0.6680 0.3780
Dy8 0.8911 0.8320 0.8780
Cd1 0.5000 0.0000 0.0000
Cd2 0.5000 0.5000 0.5000
Cu1 0.0000 0.0000 0.5000
Cu2 0.0000 0.5000 0.0000

Mass density ... 8.508 g/cm³
Symmetry ... P2_1/c (14)
DOS(E_F) ... 5.780 states/eV/f.u.

Arrangement 2

First-principles (PBE) data for a relaxed structure of Dy4CdCu, as listed in Alexandria.

Unit cell a=3.5235 b=3.5235 c=12.7695 alpha=90.00 beta=90.00 gamma=90.00
Atoms (fractional coordinates):
Dy1 0.0000 0.0000 0.1336
Dy2 0.0000 0.0000 0.8664
Dy3 0.5000 0.5000 0.3343
Dy4 0.5000 0.5000 0.6657
Cd1 0.0000 0.0000 0.5000
Cu1 0.5000 0.5000 0.0000

Mass density ... 8.651 g/cm³
Symmetry ... P4/mmm (123)
DOS(E_F) ... 7.664 states/eV/f.u.

Which of them is the most stable, and which is the least stable? arrangement 2 and arrangement 1, in that order.

Arrangement 1

First-principles (PBE) data for a relaxed structure of Dy4CdCu2, as listed in Alexandria.

Unit cell a=8.4606 b=8.4606 c=8.4606 alpha=34.43 beta=34.43 gamma=34.43
Atoms (fractional coordinates):
Dy1 0.1155 0.1155 0.1155
Dy2 0.3680 0.3680 0.3680
Dy3 0.6320 0.6320 0.6320
Dy4 0.8845 0.8845 0.8845
Cd1 0.5000 0.5000 0.5000
Cu1 0.2459 0.2459 0.2459
Cu2 0.7541 0.7541 0.7541

Mass density ... 8.553 g/cm³
Symmetry ... R-3m (166)
DOS(E_F) ... 6.922 states/eV/f.u.

Arrangement 2

First-principles (PBE) data for a relaxed structure of Dy4CdCu2, as listed in Alexandria.

Unit cell a=9.3469 b=9.3469 c=9.3469 alpha=30.18 beta=30.18 gamma=30.18
Atoms (fractional coordinates):
Dy1 0.1154 0.1154 0.1154
Dy2 0.2961 0.2961 0.2961
Dy3 0.7039 0.7039 0.7039
Dy4 0.8846 0.8846 0.8846
Cd1 0.5000 0.5000 0.5000
Cu1 0.4015 0.4015 0.4015
Cu2 0.5985 0.5985 0.5985

Mass density ... 8.076 g/cm³
Symmetry ... R-3m (166)
DOS(E_F) ... 8.179 states/eV/f.u.

Which of them is the most stable, and which is the least stable? arrangement 1 and arrangement 2, in that order.

Arrangement 1

First-principles (PBE) data for a relaxed structure of Dy2Cd3Cu2, as listed in Alexandria.

Unit cell a=10.2305 b=10.2305 c=3.6240 alpha=90.00 beta=90.00 gamma=156.13
Atoms (fractional coordinates):
Dy1 0.1710 0.8290 0.0000
Dy2 0.8290 0.1710 0.0000
Cd1 0.0000 0.0000 0.0000
Cd2 0.4234 0.5766 0.5000
Cd3 0.5766 0.4234 0.5000
Cu1 0.2847 0.7153 0.5000
Cu2 0.7153 0.2847 0.5000

Mass density ... 8.538 g/cm³
Symmetry ... Cmmm (65)
DOS(E_F) ... 4.106 states/eV/f.u.

Arrangement 2

First-principles (PBE) data for a relaxed structure of Dy2Cd3Cu2, as listed in Alexandria.

Unit cell a=5.3566 b=5.3566 c=7.3521 alpha=109.56 beta=109.56 gamma=48.87
Atoms (fractional coordinates):
Dy1 0.1370 0.1370 0.2837
Dy2 0.8630 0.8630 0.7163
Cd1 0.3703 0.3703 0.0606
Cd2 0.5000 0.5000 0.5000
Cd3 0.6297 0.6297 0.9394
Cu1 0.1577 0.1577 0.6938
Cu2 0.8423 0.8423 0.3062

Mass density ... 8.870 g/cm³
Symmetry ... C2/m (12)
DOS(E_F) ... 4.797 states/eV/f.u.

Which of them is the most stable, and which is the least stable? arrangement 2 and arrangement 1, in that order.

Arrangement 1

First-principles (PBE) data for a relaxed structure of DyErCdCu, as listed in Alexandria.

Unit cell a=3.4887 b=3.4887 c=7.6390 alpha=90.00 beta=90.00 gamma=90.00
Atoms (fractional coordinates):
Dy1 0.0000 0.0000 0.0000
Er1 0.0000 0.0000 0.5582
Cd1 0.5000 0.5000 0.2817
Cu1 0.5000 0.5000 0.7745

Mass density ... 9.032 g/cm³
Symmetry ... P4mm (99)
DOS(E_F) ... 3.438 states/eV/f.u.

Arrangement 2

First-principles (PBE) data for a relaxed structure of DyErCdCu, as listed in Alexandria.

Unit cell a=5.0944 b=5.0944 c=5.0944 alpha=60.00 beta=60.00 gamma=60.00
Atoms (fractional coordinates):
Dy1 0.0000 0.0000 0.0000
Er1 0.5000 0.5000 0.5000
Cd1 0.2500 0.2500 0.2500
Cu1 0.7500 0.7500 0.7500

Mass density ... 8.983 g/cm³
Symmetry ... F-43m (216)
DOS(E_F) ... 3.043 states/eV/f.u.

Which of them is the most stable, and which is the least stable? arrangement 1 and arrangement 2, in that order.

Arrangement 1

First-principles (PBE) data for a relaxed structure of TbDyCdCu, as listed in Alexandria.

Unit cell a=3.5264 b=3.5264 c=7.6213 alpha=90.00 beta=90.00 gamma=90.00
Atoms (fractional coordinates):
Tb1 0.0000 0.0000 0.0000
Dy1 0.0000 0.0000 0.5557
Cd1 0.5000 0.5000 0.2792
Cu1 0.5000 0.5000 0.7757

Mass density ... 8.715 g/cm³
Symmetry ... P4mm (99)
DOS(E_F) ... 3.872 states/eV/f.u.

Arrangement 2

First-principles (PBE) data for a relaxed structure of TbDyCdCu, as listed in Alexandria.

Unit cell a=5.1283 b=5.1283 c=5.1283 alpha=60.00 beta=60.00 gamma=60.00
Atoms (fractional coordinates):
Tb1 0.0000 0.0000 0.0000
Dy1 0.5000 0.5000 0.5000
Cd1 0.2500 0.2500 0.2500
Cu1 0.7500 0.7500 0.7500

Mass density ... 8.660 g/cm³
Symmetry ... F-43m (216)
DOS(E_F) ... 2.712 states/eV/f.u.

Which of them is the most stable, and which is the least stable? arrangement 1 and arrangement 2, in that order.

Arrangement 1

First-principles (PBE) data for a relaxed structure of DyTmCdCu, as listed in Alexandria.

Unit cell a=5.0827 b=5.0827 c=5.0827 alpha=60.00 beta=60.00 gamma=60.00
Atoms (fractional coordinates):
Dy1 0.0000 0.0000 0.0000
Tm1 0.5000 0.5000 0.5000
Cd1 0.7500 0.7500 0.7500
Cu1 0.2500 0.2500 0.2500

Mass density ... 9.074 g/cm³
Symmetry ... F-43m (216)
DOS(E_F) ... 3.383 states/eV/f.u.

Arrangement 2

First-principles (PBE) data for a relaxed structure of DyTmCdCu, as listed in Alexandria.

Unit cell a=3.4790 b=3.4790 c=7.6286 alpha=90.00 beta=90.00 gamma=90.00
Atoms (fractional coordinates):
Dy1 0.0000 0.0000 0.0000
Tm1 0.0000 0.0000 0.5587
Cd1 0.5000 0.5000 0.2834
Cu1 0.5000 0.5000 0.7716

Mass density ... 9.125 g/cm³
Symmetry ... P4mm (99)
DOS(E_F) ... 3.375 states/eV/f.u.

Which of them is the most stable, and which is the least stable? arrangement 2 and arrangement 1, in that order.

Arrangement 1

First-principles (PBE) data for a relaxed structure of Er4CdCu, as listed in Alexandria.

Unit cell a=6.2981 b=8.7987 c=5.9497 alpha=90.00 beta=107.09 gamma=90.00
Atoms (fractional coordinates):
Er1 0.1121 0.1679 0.1212
Er2 0.1121 0.3321 0.6212
Er3 0.3659 0.6562 0.9212
Er4 0.3659 0.8438 0.4212
Er5 0.6341 0.1562 0.5788
Er6 0.6341 0.3438 0.0788
Er7 0.8879 0.6679 0.3788
Er8 0.8879 0.8321 0.8788
Cd1 0.5000 0.0000 0.0000
Cd2 0.5000 0.5000 0.5000
Cu1 0.0000 0.0000 0.5000
Cu2 0.0000 0.5000 0.0000

Mass density ... 8.905 g/cm³
Symmetry ... P2_1/c (14)
DOS(E_F) ... 5.559 states/eV/f.u.

Arrangement 2

First-principles (PBE) data for a relaxed structure of Er4CdCu, as listed in Alexandria.

Unit cell a=3.4852 b=3.4852 c=12.7133 alpha=90.00 beta=90.00 gamma=90.00
Atoms (fractional coordinates):
Er1 0.0000 0.0000 0.1335
Er2 0.0000 0.0000 0.8665
Er3 0.5000 0.5000 0.3335
Er4 0.5000 0.5000 0.6665
Cd1 0.0000 0.0000 0.5000
Cu1 0.5000 0.5000 0.0000

Mass density ... 9.087 g/cm³
Symmetry ... P4/mmm (123)
DOS(E_F) ... 6.980 states/eV/f.u.

Which of them is the most stable, and which is the least stable? arrangement 2 and arrangement 1, in that order.

Arrangement 1

First-principles (PBE) data for a relaxed structure of ErScCdCu, as listed in Alexandria.

Unit cell a=4.9571 b=4.9571 c=4.9571 alpha=60.00 beta=60.00 gamma=60.00
Atoms (fractional coordinates):
Er1 0.0000 0.0000 0.0000
Sc1 0.5000 0.5000 0.5000
Cd1 0.2500 0.2500 0.2500
Cu1 0.7500 0.7500 0.7500

Mass density ... 7.484 g/cm³
Symmetry ... F-43m (216)
DOS(E_F) ... 4.263 states/eV/f.u.

Arrangement 2

First-principles (PBE) data for a relaxed structure of ErScCdCu, as listed in Alexandria.

Unit cell a=3.3822 b=3.3822 c=7.4531 alpha=90.00 beta=90.00 gamma=90.00
Atoms (fractional coordinates):
Er1 0.0000 0.0000 0.0000
Sc1 0.0000 0.0000 0.5610
Cd1 0.5000 0.5000 0.2963
Cu1 0.5000 0.5000 0.7590

Mass density ... 7.560 g/cm³
Symmetry ... P4mm (99)
DOS(E_F) ... 2.635 states/eV/f.u.

Which of them is the most stable, and which is the least stable? arrangement 2 and arrangement 1, in that order.